(a)
First-principles (PBE) data for a geometry-optimized TlHg2Au2 structure, as listed in Alexandria.

Geometry as POSCAR:
```
TlHg2Au2
1.0
8.738 0.000 0.000
0.000 8.738 0.000
0.000 0.000 3.028
Tl Hg Au
2 4 4
Cartesian
0.000 0.000 0.000
4.369 4.369 0.000
1.146 3.223 0.000
3.223 7.592 0.000
5.515 1.146 0.000
7.592 5.515 0.000
1.464 5.833 1.514
2.905 1.464 1.514
5.833 7.274 1.514
7.274 2.905 1.514
```

***

(b)
First-principles (PBE) data for a geometry-optimized TlHg2Au2 structure, as listed in Alexandria.

Geometry as POSCAR:
```
TlHg2Au2
1.0
5.928 -2.033 0.000
5.928 2.033 0.000
-1.804 0.000 5.254
Tl Hg Au
1 2 2
Cartesian
0.000 0.000 0.000
3.573 0.000 2.321
6.478 0.000 2.933
1.961 0.000 4.641
8.090 0.000 0.613
```

***

(c)
First-principles (PBE) data for a geometry-optimized TlHg2Au2 structure, as listed in Alexandria.

Geometry as POSCAR:
```
TlHg2Au2
1.0
2.958 -7.481 0.000
2.958 7.481 0.000
-2.751 0.000 5.941
Tl Hg Au
2 4 4
Cartesian
0.895 5.559 4.456
2.270 -5.559 1.485
-0.588 1.859 4.796
0.787 -1.859 1.826
2.377 1.859 4.115
3.753 -1.859 1.145
2.270 3.248 1.485
2.270 0.506 1.485
0.895 -0.506 4.456
0.895 -3.248 4.456
```

***

(d)
First-principles (PBE) data for a geometry-optimized TlHg2Au2 structure, as listed in Alexandria.

Geometry as POSCAR:
```
TlHg2Au2
1.0
8.285 0.000 0.000
0.000 8.285 0.000
0.000 0.000 3.343
Tl Hg Au
2 4 4
Cartesian
0.000 0.000 0.000
4.142 4.142 0.000
1.454 2.688 1.671
2.688 6.831 1.671
5.596 1.454 1.671
6.831 5.596 1.671
1.018 5.160 0.000
3.124 1.018 0.000
5.160 7.266 0.000
7.266 3.124 0.000
```

***

Tell me which of them is the most stable. Sure, it is (b).

***

(a)
First-principles (PBE) data for a geometry-optimized Tl2Hg2Au structure, as listed in Alexandria.

Geometry as POSCAR:
```
Tl2Hg2Au
1.0
3.474 -3.477 0.000
3.474 3.477 0.000
-3.370 0.000 11.720
Tl Hg Au
4 4 2
Cartesian
0.867 0.864 1.303
-0.818 -0.864 7.163
4.396 0.864 4.557
2.711 -0.864 10.417
0.910 0.856 4.758
-0.775 -0.856 10.618
4.354 0.856 1.102
2.669 -0.856 6.962
2.632 2.577 2.930
0.947 -2.577 8.790
```

***

(b)
First-principles (PBE) data for a geometry-optimized Tl2Hg2Au structure, as listed in Alexandria.

Geometry as POSCAR:
```
Tl2Hg2Au
1.0
7.672 0.000 0.000
0.000 7.672 0.000
0.000 0.000 5.025
Tl Hg Au
4 4 2
Cartesian
1.183 2.653 0.000
2.653 6.488 0.000
5.019 1.183 0.000
6.488 5.019 0.000
1.236 5.071 2.513
2.600 1.236 2.513
5.071 6.436 2.513
6.436 2.600 2.513
0.000 0.000 0.000
3.836 3.836 0.000
```

***

(c)
First-principles (PBE) data for a geometry-optimized Tl2Hg2Au structure, as listed in Alexandria.

Geometry as POSCAR:
```
Tl2Hg2Au
1.0
7.431 0.000 0.000
0.000 7.431 0.000
0.000 0.000 5.034
Tl Hg Au
4 4 2
Cartesian
1.266 2.449 0.000
2.449 6.165 0.000
4.982 1.266 0.000
6.165 4.982 0.000
1.071 4.787 2.517
2.644 1.071 2.517
4.787 6.360 2.517
6.360 2.644 2.517
0.000 0.000 2.517
3.716 3.716 2.517
```

***

Tell me which of them is the most stable. Sure, it is (a).

***

(a)
First-principles (PBE) data for a geometry-optimized Tl4HgAu structure, as listed in Alexandria.

Geometry as POSCAR:
```
Tl4HgAu
1.0
4.485 -6.386 0.000
4.485 6.386 0.000
-1.585 0.000 6.075
Tl Hg Au
8 2 2
Cartesian
2.038 3.977 5.699
1.599 1.237 3.697
4.554 3.977 3.414
2.391 -1.237 0.659
4.993 1.237 5.416
2.830 -3.977 2.661
5.786 -1.237 2.378
5.347 -3.977 0.376
4.089 1.363 1.519
3.296 -1.363 4.556
4.089 6.224 1.519
3.296 -6.224 4.556
```

***

(b)
First-principles (PBE) data for a geometry-optimized Tl4HgAu structure, as listed in Alexandria.

Geometry as POSCAR:
```
Tl4HgAu
1.0
0.000 4.520 4.520
4.520 0.000 4.520
4.520 4.520 0.000
Tl Hg Au
4 1 1
Cartesian
1.126 1.126 1.126
3.394 3.394 1.126
3.394 1.126 3.394
1.126 3.394 3.394
4.520 4.520 4.520
6.780 6.780 6.780
```

***

Tell me which of them is the most stable. Sure, it is (a).